This record from Alexandria via LeMat-Bulk describes a geometry-optimized HfScCuNi structure. The functional is PBE.

Values from the calculation:
Density of states at the Fermi level: 0.869 states/eV per atom
Theoretical density: 8683 kg/m3
Total moment: 0.000 μB/atom
Energy relative to the elements: -315 meV per atom

Structure (extended XYZ):
```
4
Lattice="-2.8660 -1.0746 3.3512 -4.1564 -1.5405 -0.9752 -1.0507 -4.3457 0.7813" Properties=species:S:1:pos:R:3 pbc="T T T"
Sc -4.0366 -3.4804 1.5786
Ni -6.0548 -5.2206 2.3680
Hf 0.0000 0.0000 0.0000
Cu -2.0183 -1.7402 0.7893
```



This record from Alexandria via LeMat-Bulk describes a geometry-optimized Sm2HfCu3Ni12 structure. The functional is PBE.

Values from the calculation:
Density of states at the Fermi level: 1.089 states/eV per atom
Theoretical density: 9099 kg/m3
Total moment: 0.000 μB/atom
Energy relative to the elements: -5 meV per atom

Structure (extended XYZ):
```
18
Lattice="6.1475 -1.2943 -0.9180 1.9105 5.9847 -0.9180 1.9105 1.1121 5.9517" Properties=species:S:1:pos:R:3 pbc="T T T"
Sm 7.0567 4.1076 2.9135
Sm 2.9118 1.6949 1.2022
Hf 0.0000 0.0000 0.0000
Cu 3.0738 -0.6471 -0.4590
Cu 0.9553 2.9924 -0.4590
Cu 0.9553 0.5560 2.9759
Ni 4.9519 2.8824 4.3750
Ni 6.9806 4.0633 0.2392
Ni 4.8117 5.2950 3.7557
Ni 6.8644 1.7962 1.2740
Ni 6.9806 1.5690 3.7557
Ni 4.9519 5.0819 1.2740
Ni 5.0167 2.9201 -0.2593
Ni 2.9880 1.7393 3.8765
Ni 5.1568 0.5075 0.3600
Ni 3.1041 4.0063 2.8417
Ni 2.9880 4.2335 0.3600
Ni 5.0167 0.7206 2.8417
```



This record from Alexandria via LeMat-Bulk describes a geometry-optimized SmHfCuNi structure. The functional is PBE.

Values from the calculation:
Density of states at the Fermi level: 1.013 states/eV per atom
Theoretical density: 9957 kg/m3
Total moment: 0.000 μB/atom
Energy relative to the elements: -132 meV per atom

Structure (extended XYZ):
```
4
Lattice="-3.2429 3.2024 -1.2964 -1.6206 0.0621 -4.4522 -4.4421 -1.3665 -0.9236" Properties=species:S:1:pos:R:3 pbc="T T T"
Ni 0.0000 0.0000 0.0000
Hf -2.3264 0.4745 -1.6681
Cu -4.6528 0.9490 -3.3361
Sm -6.9792 1.4235 -5.0042
```



This record from Alexandria via LeMat-Bulk describes a geometry-optimized YHfCuNi structure. The functional is PBE.

Values from the calculation:
Density of states at the Fermi level: 0.728 states/eV per atom
Theoretical density: 8855 kg/m3
Total moment: 0.000 μB/atom
Energy relative to the elements: -206 meV per atom

Structure (extended XYZ):
```
4
Lattice="4.6925 0.0000 0.0000 2.3463 4.0639 0.0000 2.3463 1.3546 3.8314" Properties=species:S:1:pos:R:3 pbc="T T T"
Y 0.0000 0.0000 0.0000
Ni 2.3463 1.3546 0.9579
Hf 4.6925 2.7092 1.9157
Cu 7.0388 4.0639 2.8736
```